CeSmInSn: relaxed, PBE.

```
CeSmInSn
1.0
5.4445 0.0000 0.0000
2.7223 4.7151 0.0000
2.7223 1.5717 4.4454
In Ce Sm Sn
1 1 1 1
direct
0.5000 0.5000 0.5000
0.7500 0.7500 0.7500
0.2500 0.2500 0.2500
0.0000 0.0000 0.0000
```

Output
**DFT total energy**: -4.83 eV per atom
**Fermi-level density of states**: 2.1520 states/eV/atom
**ΔE_f**: -0.482 eV/atom
**Crystal system**: cubic

---

Cd2CoCuN: relaxed, PBE.

```
Cd2CoCuN
1.0
-4.7110 1.8708 0.4577
-1.1987 -3.1841 0.6762
0.7848 0.7601 4.9708
N Co Cu Cd
1 1 1 2
direct
0.0000 0.5000 0.0000
0.5000 0.5000 0.5000
0.0000 0.0000 0.0000
0.0000 0.0000 0.5000
0.5000 0.0000 0.0000
```

Output
**DFT total energy**: -3.29 eV per atom
**Formation energy from raw total energies**: 0.9833 eV per atom
**Fermi-level density of states**: 0.7927 states/eV/atom
**Crystal system**: tetragonal

---

LaSc2Tl3Se6: relaxed, PBE.

```
LaSc2Tl3Se6
1.0
7.1484 0.0086 0.0020
-3.5650 6.1960 0.0020
-1.1929 -2.0655 7.7171
La Sc Tl Se
1 2 3 6
direct
0.0000 0.0000 0.0000
0.3332 0.6668 0.0000
0.6668 0.3332 0.0000
0.1607 0.8393 0.5000
0.8393 0.1607 0.5000
0.5000 0.5000 0.5000
0.9328 0.5745 0.7984
0.7072 0.7072 0.1958
0.0672 0.4255 0.2016
0.5745 0.9328 0.7984
0.2928 0.2928 0.8042
0.4255 0.0672 0.2016
```

Output
**DFT total energy**: -5.11 eV per atom
**Formation energy from raw total energies**: -1.3094 eV per atom
**Crystal system**: monoclinic

---

ErZrN: relaxed, PBE.

```
ErZrN
1.0
-2.6634 -2.6218 4.1508
-2.4338 -0.9057 -2.1338
2.6672 -1.9947 0.4515
N Zr Er
1 1 1
direct
0.9913 0.0000 0.0000
0.7731 0.6667 0.3333
0.2356 0.3333 0.6667
```

Output
**DFT total energy**: -8.24 eV per atom
**Formation energy from raw total energies**: -1.0927 eV per atom
**Fermi-level density of states**: 0.6738 states/eV/atom
**Crystal system**: trigonal